1.
This record from Alexandria via LeMat-Bulk describes a geometry-optimized LaTbPr3Ho structure. The functional is PBE.

Lattice parameters (Å, degrees): 8.1595 5.2089 10.3905 90.00 108.59 90.00
With the nearest neighbours (Å) after each atom.
Space group P2_1/m (No. 11)
Symmetry-distinct sites (fractional):
La  0.1714  0.2500  0.2921 x2  3 Tb 3.64-3.65, 1 Ho 3.65, 8 Pr 3.68-3.71
Tb  0.4999  0.2500  0.6263 x2  5 Pr 3.63-3.65, 3 La 3.64-3.65, 2 Ho 3.68, 2 Tb 3.70
Pr  0.1708  0.2500  0.7929 x2  1 Tb 3.63, 3 Ho 3.63, 6 Pr 3.67-3.72, 2 La 3.71
Pr  0.1714  0.7500  0.5436 x2  1 Ho 3.63, 3 Tb 3.64-3.65, 5 Pr 3.67-3.72, 3 La 3.69-3.71
Pr  0.1718  0.7500  0.0418 x2  3 Ho 3.61-3.65, 1 Tb 3.63, 5 Pr 3.67-3.72, 3 La 3.68-3.70
Ho  0.4984  0.7500  0.8759 x2  7 Pr 3.61-3.65, 1 La 3.65, 2 Ho 3.66, 2 Tb 3.68

Results
energy of formation from the pure elements: 0.024 eV per atom
total energy: -4.721 eV/atom
volume: 418.58 Å³ per cell

---

2.
This record from Alexandria via LeMat-Bulk describes a geometry-optimized YSi2Ru2 structure. The functional is PBE.

Lattice parameters (Å, degrees): 4.1825 4.1825 9.5741 90.00 90.00 90.00
With the nearest neighbours (Å) after each atom.
Space group I4/mmm (No. 139)
Symmetry-distinct sites (fractional):
Y  0.0000  0.0000  0.0000 x2  8 Ru 3.18, 10 Si 3.21-3.53
Si  0.0000  0.0000  0.3686 x4  4 Ru 2.38, 1 Si 2.52
Ru  0.0000  0.5000  0.2500 x4  4 Si 2.38

Results
total energy: -8.089 eV/atom
formation energy without anion corrections: -0.92 eV/atom
volume: 167.48 Å³ per cell

---

Result set for DOS at the Fermi energy: 19.899; 3.742 states/eV/cell, one per record in the order listed.